1.
Material: Zn2Os
Method: DFT, PBE
State: optimized geometry

Cell: 4.7472 4.7472 4.3643 Å, 90.00 90.00 120.00°
Atoms (fractional coordinates):
Zn 0.0000 0.0000 0.0000
Zn 0.0000 0.3605 0.5000
Zn 0.3605 0.0000 0.5000
Zn 0.6395 0.6395 0.5000
Os 0.3333 0.6667 0.0000
Os 0.6667 0.3333 0.0000

Summary:
* symmetry: P-62m, No. 189


2.
Material: NaSmHgSe3
Method: DFT, PBE
State: optimized geometry

Cell: 7.2463 7.2463 11.2372 Å, 90.00 90.00 146.16°
Atoms (fractional coordinates):
Na 0.2432 0.7568 0.7500
Na 0.7568 0.2432 0.2500
Sm 0.0000 0.0000 0.0000
Sm 0.0000 0.0000 0.5000
Hg 0.4630 0.5370 0.2500
Hg 0.5370 0.4630 0.7500
Se 0.0895 0.9105 0.2500
Se 0.3577 0.6423 0.0558
Se 0.3577 0.6423 0.4442
Se 0.6423 0.3577 0.5558
Se 0.6423 0.3577 0.9442
Se 0.9105 0.0895 0.7500

Summary:
* symmetry: Cmcm, No. 63


3.
Material: TbTmZnTe3
Method: DFT, PBE
State: optimized geometry

Cell: 7.8559 7.8559 10.4803 Å, 90.00 90.00 149.72°
Atoms (fractional coordinates):
Tb 0.0000 0.0000 0.0000
Tb 0.0000 0.0000 0.5000
Tm 0.2249 0.7751 0.7500
Tm 0.7751 0.2249 0.2500
Zn 0.4807 0.5193 0.2500
Zn 0.5193 0.4807 0.7500
Te 0.1202 0.8798 0.2500
Te 0.3479 0.6521 0.0547
Te 0.3479 0.6521 0.4453
Te 0.6521 0.3479 0.5547
Te 0.6521 0.3479 0.9453
Te 0.8798 0.1202 0.7500

Summary:
* symmetry: Cmcm, No. 63


4.
Material: K2La2DyMg3In
Method: DFT, PBE
State: optimized geometry

Cell: 3.4685 9.4765 9.4765 Å, 99.66 90.00 90.00°
Atoms (fractional coordinates):
K 0.0000 0.1185 0.8815
K 0.0000 0.8815 0.1185
La 0.5000 0.5009 0.9184
La 0.5000 0.9184 0.5009
Dy 0.5000 0.2796 0.2796
Mg 0.0000 0.2812 0.5819
Mg 0.0000 0.5819 0.2812
Mg 0.0000 0.7439 0.7439
In 0.5000 0.5429 0.5429

Summary:
* symmetry: Amm2, No. 38


5.
Material: Li4InSnPt2
Method: DFT, PBE
State: optimized geometry

Cell: 4.4853 4.4853 6.3160 Å, 90.00 90.00 90.00°
Atoms (fractional coordinates):
Li 0.0000 0.0000 0.0000
Li 0.0000 0.5000 0.7486
Li 0.5000 0.0000 0.2514
Li 0.5000 0.5000 0.5000
In 0.0000 0.0000 0.5000
Sn 0.5000 0.5000 0.0000
Pt 0.0000 0.5000 0.2435
Pt 0.5000 0.0000 0.7565

Summary:
* symmetry: P-4m2, No. 115


6.
Material: NaTlFe
Method: DFT, PBE
State: optimized geometry

Cell: 4.7386 4.7386 4.7386 Å, 60.00 60.00 60.00°
Atoms (fractional coordinates):
Na 0.0000 0.0000 0.0000
Tl 0.7500 0.7500 0.7500
Fe 0.5000 0.5000 0.5000

Summary:
* symmetry: F-43m, No. 216


Results for raw total energy: -4.418; -3.908; -4.222; -2.503; -3.926; -3.245 (in eV per atom, following the order of the records).